# SmGeSb2 | Alexandria via LeMat-Bulk | GGA-PBE | optimized geometry
data_SmGeSb2
_chemical_formula_sum 'Sm1 Ge1 Sb2'
_space_group_name_H-M_alt 'P 4/m m m'
_space_group_IT_number 123
_space_group_name_Hall '-P 4 2'
_cell_length_a 4.827
_cell_length_b 4.827
_cell_length_c 4.409
_cell_angle_alpha 90.00
_cell_angle_beta 90.00
_cell_angle_gamma 90.00
loop_
_atom_site_label
_atom_site_type_symbol
_atom_site_fract_x
_atom_site_fract_y
_atom_site_fract_z
Sm1 Sm 0.000 0.000 0.000
Ge1 Ge 0.500 0.500 0.000
Sb1 Sb 0.000 0.500 0.500
# Energy above the lowest structure with this stoichiometry   0 meV/atom
# Formation energy (no corrections)   -0.4090 eV per atom

***

# ThZn2Cd5 | Alexandria via LeMat-Bulk | GGA-PBE | optimized geometry
data_ThZn2Cd5
_chemical_formula_sum 'Th2 Zn4 Cd10'
_space_group_name_H-M_alt 'I m m m'
_space_group_IT_number 71
_space_group_name_Hall '-I 2 2'
_cell_length_a 4.071
_cell_length_b 8.137
_cell_length_c 10.616
_cell_angle_alpha 90.00
_cell_angle_beta 90.00
_cell_angle_gamma 90.00
loop_
_atom_site_label
_atom_site_type_symbol
_atom_site_fract_x
_atom_site_fract_y
_atom_site_fract_z
Th1 Th 0.000 0.000 0.000
Zn1 Zn 0.000 0.500 0.268
Cd1 Cd 0.000 0.193 0.354
Cd2 Cd 0.000 0.500 0.000
# ΔH_f (0 K)   -0.084 eV/atom

***

# CsCdBH6 | Alexandria via LeMat-Bulk | GGA-PBE | optimized geometry
data_CsCdBH6
_chemical_formula_sum 'Cs1 Cd1 B1 H6'
_space_group_name_H-M_alt 'P 1'
_space_group_IT_number 1
_space_group_name_Hall 'P 1'
_cell_length_a 5.218
_cell_length_b 5.241
_cell_length_c 5.842
_cell_angle_alpha 89.69
_cell_angle_beta 89.94
_cell_angle_gamma 60.19
loop_
_atom_site_label
_atom_site_type_symbol
_atom_site_fract_x
_atom_site_fract_y
_atom_site_fract_z
Cs1 Cs 0.000 0.000 0.000
Cd1 Cd 0.667 0.664 0.483
B1 B 0.335 0.329 0.401
H1 H 0.206 0.201 0.474
H2 H 0.207 0.584 0.475
H3 H 0.334 0.332 0.191
H4 H 0.592 0.201 0.474
H5 H 0.667 0.666 0.189
H6 H 0.668 0.663 0.779
# Final energy   -3.337 eV per atom

***

Calculated DOS at the Fermi energy (states/eV/atom), listed in the same order as above: 0.623 0.456 0.000